No. 1
The following is a PBE calculation of a relaxed structure of Ag6SBrCl2, from Alexandria.

Properties
final energy	-2.795	eV/atom

extended XYZ file:
```
10
Lattice="6.065 -2.996 0.000 6.065 2.996 0.000 -3.029 0.000 6.404" Properties=species:S:1:pos:R:3 pbc="T T T"
Ag 2.680 1.514 4.042
Ag 2.686 0.000 1.405
Ag 6.421 1.514 2.362
Ag 2.680 -1.514 4.042
Ag 6.415 0.000 4.999
Ag 6.421 -1.514 2.362
S 4.551 0.000 3.202
Br 0.000 0.000 0.000
Cl 0.651 0.000 5.400
Cl 8.450 0.000 1.004
```

***

No. 2
The following is a PBE calculation of a relaxed structure of Ag3SbBr2Cl6, from Alexandria.

Properties
final energy	-2.760	eV/atom

extended XYZ file:
```
12
Lattice="7.520 -3.932 0.000 7.520 3.932 0.000 -1.855 0.000 6.118" Properties=species:S:1:pos:R:3 pbc="T T T"
Ag 0.000 0.000 0.000
Ag 2.833 1.966 3.059
Ag 2.833 -1.966 3.059
Sb 6.593 0.000 3.059
Br 2.155 0.000 1.413
Br 11.032 0.000 4.705
Cl 5.665 1.724 1.640
Cl 7.521 1.724 4.479
Cl 4.568 0.000 4.426
Cl 8.618 0.000 1.692
Cl 5.665 -1.724 1.640
Cl 7.521 -1.724 4.479
```

***

No. 3
The following is a PBE calculation of a relaxed structure of AgSbBrCl6, from Alexandria.

Properties
final energy	-2.672	eV/atom

extended XYZ file:
```
9
Lattice="6.947 0.000 0.000 -3.439 6.053 0.000 -1.428 -2.407 7.254" Properties=species:S:1:pos:R:3 pbc="T T T"
Ag 0.000 0.000 0.000
Sb -1.161 1.482 7.251
Br 3.025 0.661 3.622
Cl -0.783 2.138 1.451
Cl -0.308 -0.263 5.798
Cl 2.367 -0.285 1.477
Cl -0.155 3.260 5.797
Cl 2.202 4.016 1.455
Cl 3.496 1.714 5.761
```